The following is a PBE calculation of a relaxed structure of CeSm5Te6, from Alexandria.

```
12
Lattice="3.837 -6.681 0.000 3.837 6.681 0.000 -2.579 0.000 7.299" Properties=species:S:1:pos:R:3 pbc="T T T"
Ce 0.000 0.000 0.000
Sm 2.548 4.429 3.650
Sm 3.837 2.247 0.000
Sm 2.548 0.000 3.650
Sm 3.837 -2.247 0.000
Sm 2.548 -4.429 3.650
Te 1.278 2.228 1.832
Te -0.004 0.000 5.467
Te 1.278 -2.228 1.832
Te 3.817 2.228 5.467
Te 5.099 0.000 1.832
Te 3.817 -2.228 5.467
```

Output
total magnetic moment: 1.1 μB/f.u.
ρ: 7.4 Mg/m³
SG: C2/m
V: 31.19 Å³/atom
formation energy without anion corrections: -1.38 eV per atom


The following is a PBE calculation of a relaxed structure of Ce3SmTe4, from Alexandria.

```
16
Lattice="7.782 0.000 0.000 0.000 8.924 0.000 -2.557 0.000 7.314" Properties=species:S:1:pos:R:3 pbc="T T T"
Ce -0.639 1.113 1.828
Ce -1.918 3.343 5.485
Ce -0.639 5.582 1.828
Ce -1.918 7.811 5.485
Ce 1.973 1.119 5.485
Ce 3.252 7.805 1.828
Sm 3.252 3.347 1.828
Sm 1.973 5.577 5.485
Te 1.955 1.127 0.010
Te 0.684 3.360 3.657
Te 1.963 5.564 0.000
Te 0.676 7.797 3.667
Te 4.549 1.127 3.647
Te 3.262 3.360 7.313
Te 4.541 5.564 3.657
Te 3.270 7.797 7.303
```

Output
total magnetic moment: 3.5 μB/f.u.
ρ: 7.1 Mg/m³
SG: P2/c
V: 31.74 Å³/atom
formation energy without anion corrections: -1.38 eV per atom


The following is a PBE calculation of a relaxed structure of CeSm3Te4, from Alexandria.

```
8
Lattice="-3.150 3.150 6.303 3.150 -3.150 6.303 3.150 3.150 -6.303" Properties=species:S:1:pos:R:3 pbc="T T T"
Ce 0.000 0.000 0.000
Sm 3.150 0.000 3.152
Sm 0.000 0.000 6.303
Sm 0.000 3.150 3.152
Te 3.150 0.000 0.000
Te 0.000 0.000 3.162
Te 0.000 3.150 0.000
Te 0.000 0.000 9.444
```

Output
total magnetic moment: 1.5 μB/f.u.
ρ: 7.3 Mg/m³
SG: I4/mmm
V: 31.27 Å³/atom
formation energy without anion corrections: -1.38 eV per atom


The following is a PBE calculation of a relaxed structure of Ce3Sm5Te8, from Alexandria.

```
16
Lattice="4.450 2.569 7.320 -4.450 2.569 7.320 0.000 -5.139 7.320" Properties=species:S:1:pos:R:3 pbc="T T T"
Ce -2.225 -1.285 7.320
Ce -2.225 1.285 14.640
Ce 0.000 2.569 7.320
Sm 0.000 0.000 0.000
Sm -4.450 0.000 10.980
Sm -2.225 1.285 3.660
Sm 2.225 1.285 3.660
Sm 0.000 0.000 10.980
Te -2.235 -1.290 12.793
Te 0.000 0.000 5.463
Te 0.000 -2.580 9.166
Te -2.235 1.290 9.166
Te 2.235 -1.290 12.793
Te 0.000 2.580 12.793
Te 0.000 0.000 16.496
Te 2.235 1.290 9.166
```

Output
total magnetic moment: 3.6 μB/f.u.
ρ: 7.3 Mg/m³
SG: R-3m
V: 31.39 Å³/atom
formation energy without anion corrections: -1.38 eV per atom


The following is a PBE calculation of a relaxed structure of Ce5SmTe6, from Alexandria.

```
12
Lattice="3.879 -6.741 0.000 3.879 6.741 0.000 -2.598 0.000 7.301" Properties=species:S:1:pos:R:3 pbc="T T T"
Ce 0.000 0.000 0.000
Ce 2.579 4.507 3.651
Ce 3.879 2.268 0.000
Ce 3.879 -2.268 0.000
Ce 2.579 -4.507 3.651
Sm 2.579 0.000 3.651
Te 1.300 2.235 1.841
Te 0.009 0.000 5.480
Te 1.300 -2.235 1.841
Te 3.859 2.235 5.460
Te 5.150 0.000 1.821
Te 3.859 -2.235 5.460
```

Output
total magnetic moment: 5.7 μB/f.u.
ρ: 7.0 Mg/m³
SG: C2/m
V: 31.82 Å³/atom
formation energy without anion corrections: -1.37 eV per atom


The following is a PBE calculation of a relaxed structure of Ce2SmTe4, from Alexandria.

```
14
Lattice="-4.468 4.479 6.253 4.468 -4.479 6.253 4.468 4.479 -6.253" Properties=species:S:1:pos:R:3 pbc="T T T"
Ce 0.000 0.000 0.000
Ce -2.234 2.239 3.126
Ce 0.000 4.479 0.000
Ce 2.234 2.239 3.126
Sm 2.234 2.239 -3.126
Sm 2.234 -2.239 3.126
Te 4.468 -0.023 3.023
Te 2.257 2.239 -0.015
Te 6.680 2.239 -0.015
Te 4.468 4.456 -3.023
Te 0.000 0.023 9.276
Te -2.212 2.239 6.268
Te 2.212 2.239 6.268
Te 0.000 4.502 3.230
```

Output
total magnetic moment: 2.2 μB/f.u.
ρ: 6.2 Mg/m³
SG: Imma
V: 35.75 Å³/atom
polymorph energy (0 for the lowest one): 0 meV/atom
formation energy without anion corrections: -1.38 eV per atom


The following is a PBE calculation of a relaxed structure of Ce4Sm3Te8, from Alexandria.

```
15
Lattice="4.437 2.562 8.244 -4.437 2.562 8.244 0.000 -5.124 8.244" Properties=species:S:1:pos:R:3 pbc="T T T"
Ce 0.000 0.000 0.000
Ce 0.000 0.000 3.525
Ce 0.000 0.000 12.366
Ce 0.000 0.000 21.207
Sm -2.219 -1.281 8.244
Sm -2.219 1.281 16.487
Sm 0.000 2.562 8.244
Te 0.000 -2.481 10.189
Te -2.148 1.240 10.189
Te 0.000 0.000 6.564
Te -2.148 -1.240 14.542
Te 2.148 1.240 10.189
Te 0.000 0.000 18.167
Te 2.148 -1.240 14.542
Te 0.000 2.481 14.542
```

Output
total magnetic moment: 5.5 μB/f.u.
ρ: 6.0 Mg/m³
SG: R-3m
V: 37.48 Å³/atom
formation energy without anion corrections: -1.17 eV per atom


The following is a PBE calculation of a relaxed structure of CeSm6Te8, from Alexandria.

```
15
Lattice="4.731 2.732 6.271 -4.731 2.732 6.271 0.000 -5.463 6.271" Properties=species:S:1:pos:R:3 pbc="T T T"
Ce 0.000 0.000 0.000
Sm -2.907 -0.378 7.704
Sm -1.126 -2.707 11.109
Sm 1.781 -2.329 7.704
Sm -1.781 2.329 11.109
Sm 1.126 2.706 7.704
Sm 2.907 0.378 11.109
Te -1.285 -3.143 7.990
Te -3.364 -0.459 10.823
Te 0.000 0.000 6.151
Te -2.079 2.684 7.990
Te 2.079 -2.684 10.823
Te 0.000 0.000 12.662
Te 3.364 0.459 7.990
Te 1.285 3.143 10.823
```

Output
total magnetic moment: 1.8 μB/f.u.
ρ: 7.0 Mg/m³
SG: R-3
V: 32.42 Å³/atom
polymorph energy (0 for the lowest one): 116 meV/atom
formation energy without anion corrections: -1.30 eV per atom


The following is a PBE calculation of a relaxed structure of CeSm3Te6, from Alexandria.

```
20
Lattice="12.673 0.000 0.000 0.000 4.448 0.000 -4.280 0.000 12.310" Properties=species:S:1:pos:R:3 pbc="T T T"
Ce -0.263 1.112 2.394
Ce 8.655 3.336 9.917
Sm -0.525 1.112 7.147
Sm -0.239 3.336 12.294
Sm 4.047 1.112 4.109
Sm 4.345 3.336 8.201
Sm 8.631 1.112 0.017
Sm 8.917 3.336 5.164
Te -0.626 3.336 4.917
Te -2.691 1.112 11.895
Te -0.777 3.336 9.245
Te 2.256 3.336 2.724
Te 2.576 1.112 6.916
Te 5.646 1.112 1.460
Te 2.746 3.336 10.850
Te 5.816 3.336 5.394
Te 6.136 1.112 9.586
Te 9.169 1.112 3.066
Te 11.083 3.336 0.416
Te 9.018 1.112 7.393
```

Output
total magnetic moment: 1.0 μB/f.u.
ρ: 6.5 Mg/m³
SG: P2_1/m
V: 34.70 Å³/atom
formation energy without anion corrections: -1.40 eV per atom


The following is a PBE calculation of a relaxed structure of Ce2SmTe4, from Alexandria.

```
14
Lattice="2.164 -7.413 0.000 2.164 7.413 0.000 0.000 0.000 15.330" Properties=species:S:1:pos:R:3 pbc="T T T"
Ce 2.164 5.412 8.718
Ce 2.164 5.412 14.276
Ce 2.164 -5.412 1.053
Ce 2.164 -5.412 6.611
Sm 2.164 1.817 11.497
Sm 2.164 -1.817 3.832
Te 2.164 6.931 11.497
Te 2.164 4.164 1.932
Te 2.164 4.164 5.733
Te 2.164 0.000 0.000
Te 2.164 0.000 7.665
Te 2.164 -4.164 9.596
Te 2.164 -4.164 13.398
Te 2.164 -6.931 3.832
```

Output
total magnetic moment: 2.5 μB/f.u.
ρ: 6.4 Mg/m³
SG: Cmcm
V: 35.12 Å³/atom
polymorph energy (0 for the lowest one): 46 meV/atom
formation energy without anion corrections: -1.33 eV per atom


The following is a PBE calculation of a relaxed structure of CeSmTe, from Alexandria.

```
3
Lattice="-1.987 1.987 5.829 1.987 -1.987 5.829 1.987 1.987 -5.829" Properties=species:S:1:pos:R:3 pbc="T T T"
Ce 0.000 0.000 0.000
Sm 0.000 0.000 3.499
Te 0.000 0.000 7.650
```

Output
total magnetic moment: 1.2 μB/f.u.
ρ: 7.5 Mg/m³
SG: I4mm
V: 30.68 Å³/atom
polymorph energy (0 for the lowest one): 267 meV/atom
formation energy without anion corrections: -0.68 eV per atom


The following is a PBE calculation of a relaxed structure of Ce5Sm3Te8, from Alexandria.

```
16
Lattice="4.461 2.575 7.342 -4.461 2.575 7.342 0.000 -5.151 7.342" Properties=species:S:1:pos:R:3 pbc="T T T"
Ce 0.000 0.000 0.000
Ce -2.230 -1.288 7.342
Ce -2.230 1.288 14.685
Ce 0.000 2.575 7.342
Ce 0.000 0.000 11.014
Sm -4.461 0.000 11.014
Sm -2.230 1.288 3.671
Sm 2.230 1.288 3.671
Te -2.242 -1.294 12.831
Te 0.000 0.000 5.480
Te 0.000 -2.589 9.197
Te -2.242 1.294 9.197
Te 2.242 -1.294 12.831
Te 0.000 2.589 12.831
Te 0.000 0.000 16.547
Te 2.242 1.294 9.197
```

Output
total magnetic moment: 5.9 μB/f.u.
ρ: 7.1 Mg/m³
SG: R-3m
V: 31.63 Å³/atom
formation energy without anion corrections: -1.38 eV per atom


> Number 5 is which compound?

Ce5SmTe6


Copy entry 1 word for word.
The following is a PBE calculation of a relaxed structure of CeSm5Te6, from Alexandria.

```
12
Lattice="3.837 -6.681 0.000 3.837 6.681 0.000 -2.579 0.000 7.299" Properties=species:S:1:pos:R:3 pbc="T T T"
Ce 0.000 0.000 0.000
Sm 2.548 4.429 3.650
Sm 3.837 2.247 0.000
Sm 2.548 0.000 3.650
Sm 3.837 -2.247 0.000
Sm 2.548 -4.429 3.650
Te 1.278 2.228 1.832
Te -0.004 0.000 5.467
Te 1.278 -2.228 1.832
Te 3.817 2.228 5.467
Te 5.099 0.000 1.832
Te 3.817 -2.228 5.467
```

Output
total magnetic moment: 1.1 μB/f.u.
ρ: 7.4 Mg/m³
SG: C2/m
V: 31.19 Å³/atom
formation energy without anion corrections: -1.38 eV per atom